# 1
A geometry-optimized NaCaZrNbO6 structure, computed with PBE.

```
NaCaZrNbO6
1.0
0.000 4.089 4.089
4.089 0.000 4.089
4.089 4.089 0.000
Na Ca Zr Nb O
1 1 1 1 6
direct
0.000 0.000 0.000 Na
0.500 0.500 0.500 Ca
0.750 0.750 0.750 Zr
0.250 0.250 0.250 Nb
0.005 0.005 0.495 O
0.005 0.495 0.005 O
0.005 0.495 0.495 O
0.495 0.005 0.005 O
0.495 0.005 0.495 O
0.495 0.495 0.005 O
```

Summary:
Density = 4.17 g/cm³
Total DFT energy (no corrections) = -79.15 eV/cell
Volume = 13.671 Å³ per atom
Space group = F-43m (216)
Formation energy without anion corrections = -2747 meV/atom

=====

# 2
A geometry-optimized NaCaNb2Os structure, computed with PBE.

```
NaCaNb2Os
1.0
4.781 0.000 0.000
0.000 4.781 0.000
0.000 0.000 4.573
Na Ca Nb Os
1 1 2 1
direct
0.000 0.000 0.000 Na
0.000 0.000 0.500 Ca
0.000 0.500 0.000 Nb
0.500 0.000 0.000 Nb
0.500 0.500 0.500 Os
```

Summary:
ΔE_f = 2247 meV/atom
Density = 6.97 g/cm³
Total DFT energy (no corrections) = -23.45 eV/cell
Volume = 20.911 Å³ per atom
Space group = P4/mmm (123)

=====

Please write out number 1 again, unchanged.
A geometry-optimized NaCaZrNbO6 structure, computed with PBE.

```
NaCaZrNbO6
1.0
0.000 4.089 4.089
4.089 0.000 4.089
4.089 4.089 0.000
Na Ca Zr Nb O
1 1 1 1 6
direct
0.000 0.000 0.000 Na
0.500 0.500 0.500 Ca
0.750 0.750 0.750 Zr
0.250 0.250 0.250 Nb
0.005 0.005 0.495 O
0.005 0.495 0.005 O
0.005 0.495 0.495 O
0.495 0.005 0.005 O
0.495 0.005 0.495 O
0.495 0.495 0.005 O
```

Summary:
Density = 4.17 g/cm³
Total DFT energy (no corrections) = -79.15 eV/cell
Volume = 13.671 Å³ per atom
Space group = F-43m (216)
Formation energy without anion corrections = -2747 meV/atom

=====

Please write out number 1 again, unchanged.
A geometry-optimized NaCaZrNbO6 structure, computed with PBE.

```
NaCaZrNbO6
1.0
0.000 4.089 4.089
4.089 0.000 4.089
4.089 4.089 0.000
Na Ca Zr Nb O
1 1 1 1 6
direct
0.000 0.000 0.000 Na
0.500 0.500 0.500 Ca
0.750 0.750 0.750 Zr
0.250 0.250 0.250 Nb
0.005 0.005 0.495 O
0.005 0.495 0.005 O
0.005 0.495 0.495 O
0.495 0.005 0.005 O
0.495 0.005 0.495 O
0.495 0.495 0.005 O
```

Summary:
Density = 4.17 g/cm³
Total DFT energy (no corrections) = -79.15 eV/cell
Volume = 13.671 Å³ per atom
Space group = F-43m (216)
Formation energy without anion corrections = -2747 meV/atom

=====

Q: volume of number 1 (NaCaZrNbO6)?
A: 13.671 Å³ per atom

=====

Copy entry 2 word for word.
A geometry-optimized NaCaNb2Os structure, computed with PBE.

```
NaCaNb2Os
1.0
4.781 0.000 0.000
0.000 4.781 0.000
0.000 0.000 4.573
Na Ca Nb Os
1 1 2 1
direct
0.000 0.000 0.000 Na
0.000 0.000 0.500 Ca
0.000 0.500 0.000 Nb
0.500 0.000 0.000 Nb
0.500 0.500 0.500 Os
```

Summary:
ΔE_f = 2247 meV/atom
Density = 6.97 g/cm³
Total DFT energy (no corrections) = -23.45 eV/cell
Volume = 20.911 Å³ per atom
Space group = P4/mmm (123)